[1]
A relaxed structure of MgMoPd2, computed with PBE.

For the calculated volume, the calculation gives 62.3 Å³/cell. The total magnetic moment is 0.000 μB per formula unit. The value obtained for the formation energy is -1.20 eV/f.u. The total energy is -6.0029 eV/atom.

It has space group P4/mmm (No. 123), with a = 2.828 Å, b = 2.828 Å, c = 7.786 Å, α = 90.00°, β = 90.00° and γ = 90.00°. The distinct sites, in fractional coordinates, are Mg at (0.000, 0.000, 0.000), Mo at (0.000, 0.000, 0.500) and Pd at (0.500, 0.500, 0.248).


[2]
A relaxed structure of Mg2MoPd9, computed with PBE.

For the calculated volume, the calculation gives 185.9 Å³/cell. The total magnetic moment is 0.000 μB per formula unit. The value obtained for the formation energy is -4.28 eV/f.u. The total energy is -5.4198 eV/atom.

It has space group P4/mmm (No. 123), with a = 3.944 Å, b = 3.944 Å, c = 11.951 Å, α = 90.00°, β = 90.00° and γ = 90.00°. The distinct sites, in fractional coordinates, are Mg at (0.000, 0.000, 0.164), Mo at (0.000, 0.000, 0.500), Pd at (0.000, 0.500, 0.000), Pd at (0.000, 0.500, 0.341), Pd at (0.500, 0.500, 0.171) and Pd at (0.500, 0.500, 0.500).


[3]
A relaxed structure of Mg3MoPd, computed with PBE.

For the calculated volume, the calculation gives 134.2 Å³/cell. The total magnetic moment is 2.819 μB per formula unit. The value obtained for the formation energy is 6.15 eV/f.u. The total energy is -2.9318 eV/atom.

It has space group Pm-3m (No. 221), with a = 5.120 Å, b = 5.120 Å, c = 5.120 Å, α = 90.00°, β = 90.00° and γ = 90.00°. The distinct sites, in fractional coordinates, are Mg at (0.000, 0.000, 0.500), Mo at (0.000, 0.000, 0.000) and Pd at (0.500, 0.500, 0.500).